# Be3PdPb | Alexandria | PBE | optimized geometry
data_Be3PdPb
_symmetry_space_group_name_H-M 'P m -3 m'
_symmetry_Int_Tables_number 221
_symmetry_space_group_name_Hall '-P 4 2 3'
_cell_length_a 4.556
_cell_length_b 4.556
_cell_length_c 4.556
_cell_angle_alpha 90.00
_cell_angle_beta 90.00
_cell_angle_gamma 90.00
loop_
_atom_site_label
_atom_site_type_symbol
_atom_site_fract_x
_atom_site_fract_y
_atom_site_fract_z
Be1 Be 0.000 0.000 0.500
Pd1 Pd 0.500 0.500 0.500
Pb1 Pb 0.000 0.000 0.000
# Energy of formation in eV/atom: 1.365
# Density of states at the Fermi level in states/eV per atom: 0.46